First-principles (PBE) data for crystalline Al3Hg12Sb5 at its relaxed geometry, as listed in the Alexandria database.

Results
Energy   -1.609 eV/atom
Space-group type   Ia-3d (230)
Uncorrected formation energy   0.16 eV/atom

Cell: 14.452 14.452 14.452 Å, 109.47 109.47 109.47°
Sites, in units of the cell vectors:
Hg  0.059  0.883  0.126
Hg  0.675  0.433  0.559
Al  0.125  0.250  0.875
Sb  0.875  0.250  0.625
Sb  0.125  0.750  0.375
Al  0.375  0.625  0.250
Hg  0.874  0.617  0.941
Hg  0.126  0.742  0.567
Sb  0.125  0.375  0.250
Hg  0.117  0.941  0.374
Al  0.375  0.750  0.625
Hg  0.742  0.617  0.175
Al  0.250  0.625  0.875
Sb  0.000  0.500  0.000
Sb  0.625  0.750  0.875
Sb  0.250  0.875  0.125
Hg  0.175  0.059  0.933
Hg  0.742  0.126  0.067
Hg  0.559  0.626  0.383
Sb  0.000  0.000  0.500
Hg  0.242  0.567  0.626
Sb  0.000  0.000  0.000
Hg  0.941  0.825  0.567
Hg  0.883  0.059  0.626
Hg  0.126  0.383  0.059
Hg  0.067  0.441  0.825
Sb  0.500  0.500  0.000
Hg  0.626  0.067  0.242
Hg  0.933  0.374  0.258
Sb  0.375  0.125  0.750
Sb  0.750  0.125  0.875
Hg  0.758  0.433  0.374
Al  0.625  0.250  0.375
Hg  0.325  0.758  0.383
Hg  0.067  0.626  0.742
Hg  0.374  0.441  0.117
Hg  0.825  0.883  0.258
Hg  0.383  0.126  0.559
Al  0.250  0.125  0.375
Al  0.625  0.375  0.750
Hg  0.383  0.258  0.325
Hg  0.567  0.242  0.126
Hg  0.258  0.874  0.933
Al  0.875  0.125  0.250
Hg  0.325  0.567  0.441
Sb  0.000  0.500  0.500
Hg  0.441  0.374  0.617
Hg  0.941  0.117  0.874
Hg  0.175  0.117  0.742
Hg  0.559  0.933  0.675
Sb  0.250  0.375  0.625
Hg  0.617  0.874  0.441
Sb  0.375  0.250  0.125
Hg  0.626  0.559  0.883
Hg  0.258  0.383  0.825
Hg  0.433  0.758  0.874
Sb  0.625  0.875  0.250
Hg  0.883  0.825  0.758
Sb  0.875  0.625  0.750
Hg  0.825  0.941  0.067
Hg  0.933  0.559  0.175
Al  0.875  0.750  0.125
Sb  0.500  0.500  0.500
Sb  0.500  0.000  0.500
Al  0.750  0.875  0.625
Hg  0.433  0.675  0.059
Al  0.750  0.375  0.125
Hg  0.874  0.258  0.433
Hg  0.117  0.175  0.242
Hg  0.441  0.067  0.325
Hg  0.675  0.242  0.617
Al  0.125  0.875  0.750
Hg  0.242  0.675  0.117
Hg  0.059  0.175  0.433
Sb  0.750  0.625  0.375
Hg  0.374  0.933  0.758
Sb  0.500  0.000  0.000
Hg  0.617  0.742  0.675
Hg  0.758  0.325  0.883
Hg  0.567  0.325  0.941